First-principles (PBE-GGA) data for LiNdZnHg after structural relaxation, as listed in Alexandria via LeMat-Bulk.

Properties
E_form   -0.34 eV per atom
Total magnetization   0.00 μB/f.u.
Symmetry   F-43m (216)
Uncorrected energy   -2.41 eV per atom

Cell: 5.0343 5.0343 5.0343 Å, 60.00 60.00 60.00°
With the nearest neighbours (Å) after each atom.
Fractional coordinates of all 4 atoms:
Zn (0.2500, 0.2500, 0.2500)  4 Li 3.08, 4 Nd 3.08
Nd (0.5000, 0.5000, 0.5000)  4 Zn 3.08, 4 Hg 3.08
Hg (0.7500, 0.7500, 0.7500)  4 Nd 3.08, 4 Li 3.08
Li (0.0000, 0.0000, 0.0000)  4 Hg 3.08, 4 Zn 3.08